# Ca2V2O5

An optimized crystal structure of Ca2V2O5 (GGA+U, Alexandria).

Results
VASP energy   -7.239 eV/atom
Crystal system   orthorhombic
Spin magnetization   8.0 μB per cell

The structure in POSCAR format:
```
Ca2V2O5
1.0
3.997 0.000 0.000
0.000 5.606 0.000
0.000 0.000 9.972
Ca O V
4 10 4
Direct
0.500 0.304 0.627
0.500 0.696 0.373
0.500 0.804 0.873
0.500 0.196 0.127
0.500 0.772 0.614
0.500 0.272 0.886
0.000 0.397 0.195
0.000 0.897 0.305
0.500 0.728 0.114
0.500 0.228 0.386
0.000 0.500 0.500
0.000 0.000 0.000
0.000 0.103 0.695
0.000 0.603 0.805
0.000 0.226 0.373
0.000 0.274 0.873
0.000 0.726 0.127
0.000 0.774 0.627
```